A plane-wave DFT calculation with meta-GGA SCAN was carried out for a crystal of CoSi4Ni relaxed with PBEsol.

abc: 3.771 3.771 6.530
angles: 73.21 73.21 60.00
Element x y z (fractional)
1 Ni 0.500 0.500 0.500
2 Si 0.877 0.877 0.370
3 Si 0.373 0.373 0.881
4 Si 0.627 0.627 0.119
5 Co 0.000 0.000 0.000
6 Si 0.123 0.123 0.630

Computed properties:
Raw total energy (eV per cell): -76.05